Record 1
{"formula": "Fe2NiMo", "functional": "PBE", "state": "relaxed", "spacegroup": "R3m (160)", "cell": [[2.6119, 0.0000, 0.0000], [-1.3059, 2.2620, 0.0000], [0.0000, 0.0000, 25.9579]], "species": ["Fe", "Fe", "Fe", "Fe", "Fe", "Fe", "Ni", "Ni", "Ni", "Mo", "Mo", "Mo"], "fractional_positions": [[0.0000, 0.0000, 0.0000], [0.0000, 0.0000, 0.2520], [0.3333, 0.6667, 0.6667], [0.3333, 0.6667, 0.9187], [0.6667, 0.3333, 0.3333], [0.6667, 0.3333, 0.5854], [0.0000, 0.0000, 0.5079], [0.3333, 0.6667, 0.1746], [0.6667, 0.3333, 0.8413], [0.0000, 0.0000, 0.7556], [0.3333, 0.6667, 0.4222], [0.6667, 0.3333, 0.0889]]}

***

Record 2
{"formula": "FeNi2Mo", "functional": "PBE", "state": "relaxed", "spacegroup": "I-42d (122)", "de_polymorph_mev_per_atom": 442, "cell": [[3.4375, 0.0000, 0.0000], [0.0000, 3.4375, 0.0000], [0.0000, 0.0000, 17.2623]], "species": ["Fe", "Fe", "Fe", "Fe", "Ni", "Ni", "Ni", "Ni", "Ni", "Ni", "Ni", "Ni", "Mo", "Mo", "Mo", "Mo"], "fractional_positions": [[0.0000, 0.0000, 0.0000], [0.0000, 0.5000, 0.2500], [0.5000, 0.0000, 0.7500], [0.5000, 0.5000, 0.5000], [0.2344, 0.2500, 0.1250], [0.2500, 0.7344, 0.3750], [0.2500, 0.7656, 0.8750], [0.2656, 0.2500, 0.6250], [0.7344, 0.7500, 0.6250], [0.7500, 0.2344, 0.8750], [0.7500, 0.2656, 0.3750], [0.7656, 0.7500, 0.1250], [0.0000, 0.0000, 0.5000], [0.0000, 0.5000, 0.7500], [0.5000, 0.0000, 0.2500], [0.5000, 0.5000, 0.0000]]}

***

Record 3
{"formula": "FeNi2Mo", "functional": "PBE", "state": "relaxed", "spacegroup": "F-43m (216)", "de_polymorph_mev_per_atom": 109, "cell": [[5.8079, 0.0000, 0.0000], [0.0000, 5.8079, 0.0000], [0.0000, 0.0000, 5.8079]], "species": ["Fe", "Fe", "Fe", "Fe", "Ni", "Ni", "Ni", "Ni", "Ni", "Ni", "Ni", "Ni", "Mo", "Mo", "Mo", "Mo"], "fractional_positions": [[0.0000, 0.0000, 0.0000], [0.0000, 0.5000, 0.5000], [0.5000, 0.0000, 0.5000], [0.5000, 0.5000, 0.0000], [0.0000, 0.0000, 0.5000], [0.0000, 0.5000, 0.0000], [0.2500, 0.2500, 0.2500], [0.2500, 0.7500, 0.7500], [0.5000, 0.0000, 0.0000], [0.5000, 0.5000, 0.5000], [0.7500, 0.2500, 0.7500], [0.7500, 0.7500, 0.2500], [0.2500, 0.2500, 0.7500], [0.2500, 0.7500, 0.2500], [0.7500, 0.2500, 0.2500], [0.7500, 0.7500, 0.7500]]}

***

Record 4
{"formula": "FeNi2Mo", "functional": "PBE", "state": "relaxed", "spacegroup": "R-3m (166)", "de_polymorph_mev_per_atom": 122, "cell": [[2.6111, 0.0000, 0.0000], [-1.3056, 2.2613, 0.0000], [0.0000, 0.0000, 25.4402]], "species": ["Fe", "Fe", "Fe", "Ni", "Ni", "Ni", "Ni", "Ni", "Ni", "Mo", "Mo", "Mo"], "fractional_positions": [[0.0000, 0.0000, 0.0000], [0.3333, 0.6667, 0.6667], [0.6667, 0.3333, 0.3333], [0.0000, 0.0000, 0.2536], [0.0000, 0.0000, 0.7464], [0.3333, 0.6667, 0.4130], [0.3333, 0.6667, 0.9203], [0.6667, 0.3333, 0.0797], [0.6667, 0.3333, 0.5870], [0.0000, 0.0000, 0.5000], [0.3333, 0.6667, 0.1667], [0.6667, 0.3333, 0.8333]]}

***

no.,DFT formation energy (eV/atom)
1,0.183
2,0.433
3,0.100
4,0.113